Entry 1:
Here is a relaxed structure of LiMoP2 from the Alexandria database. Energies are from PBE. Values from VASP.

Geometry as Quantum ESPRESSO input:
```
&SYSTEM
  ibrav = 0, nat = 4, ntyp = 3
/
ATOMIC_SPECIES
Mo 95.94 Mo.upf
P 30.97 P.upf
Li 6.94 Li.upf
ATOMIC_POSITIONS crystal
Mo 0.500 0.500 0.500
P 0.250 0.250 0.250
P 0.750 0.750 0.750
Li 0.000 0.000 0.000
CELL_PARAMETERS angstrom
0.000 3.011 3.011
3.011 0.000 3.011
3.011 3.011 0.000
```

## Properties
Its calculated volume is 13.6 Å³ per atom. The calculation puts the magnetization at 0.00 Bohr magnetons per cell. The calculation puts the formation energy at -0.1379 eV per atom. As for the space group: Fm-3m, No. 225.

Entry 2:
Here is a relaxed structure of LiMoP2 from the Alexandria database. Energies are from PBE. Values from VASP.

Geometry as Quantum ESPRESSO input:
```
&SYSTEM
  ibrav = 0, nat = 4, ntyp = 3
/
ATOMIC_SPECIES
P 30.97 P.upf
Li 6.94 Li.upf
Mo 95.94 Mo.upf
ATOMIC_POSITIONS crystal
P 0.958 0.958 0.088
P 0.782 0.782 0.639
Li 0.513 0.513 0.620
Mo 0.247 0.247 0.153
CELL_PARAMETERS angstrom
-3.299 -1.601 2.940
-0.430 -2.276 4.090
0.281 3.766 1.509
```

## Properties
Its calculated volume is 14.1 Å³ per atom. The calculation puts the magnetization at 0.00 Bohr magnetons per cell. The calculation puts the formation energy at -0.3107 eV per atom. As for the space group: Cm, No. 8.